(1)
Material: Ta4CdS8
Method: DFT, PBE-GGA
State: relaxed

Values from the calculation:
As for the distance to the lowest polymorph of the same formula: 0.00 eV per formula unit. For the formation energy (no corrections), the calculation gives -0.965 eV/atom. As for the size of the total moment: 0.00 Bohr magnetons per cell.

The structure in CIF format:
```
data_Ta4CdS8
_chemical_formula_sum 'Ta16 Cd4 S32'
_cell_length_a 10.187
_cell_length_b 10.187
_cell_length_c 10.187
_cell_angle_alpha 90.00
_cell_angle_beta 90.00
_cell_angle_gamma 90.00
_symmetry_space_group_name_H-M 'F -4 3 m'
_symmetry_Int_Tables_number 216
_symmetry_space_group_name_Hall 'F -4 2 3'
loop_
_atom_site_label
_atom_site_fract_x
_atom_site_fract_y
_atom_site_fract_z
Ta1 0.106 0.106 0.106
Cd1 0.000 0.000 0.500
S1 0.130 0.130 0.870
S2 0.141 0.141 0.359
```

---

(2)
Material: Ta4CdS8
Method: DFT, PBE-GGA
State: relaxed

Values from the calculation:
As for the distance to the lowest polymorph of the same formula: 0.53 eV per formula unit. For the formation energy (no corrections), the calculation gives -0.924 eV/atom. As for the size of the total moment: 0.00 Bohr magnetons per cell.

The structure in CIF format:
```
data_Ta4CdS8
_chemical_formula_sum 'Ta8 Cd2 S16'
_cell_length_a 11.590
_cell_length_b 6.705
_cell_length_c 9.236
_cell_angle_alpha 90.00
_cell_angle_beta 126.68
_cell_angle_gamma 90.00
_symmetry_space_group_name_H-M 'C 1 2/m 1'
_symmetry_Int_Tables_number 12
loop_
_symmetry_equiv_pos_as_xyz
'x,y,z'
'-x,-y,-z'
'-x,y,-z'
'x,-y,z'
'x+1/2,y+1/2,z'
'-x+1/2,-y+1/2,-z'
'-x+1/2,y+1/2,-z'
'x+1/2,-y+1/2,z'
loop_
_atom_site_label
_atom_site_fract_x
_atom_site_fract_y
_atom_site_fract_z
Ta1 0.000 0.247 0.000
Ta2 0.246 0.500 0.989
Cd1 0.000 0.000 0.500
S1 0.014 0.000 0.211
S2 0.020 0.500 0.212
S3 0.232 0.244 0.788
```

---

(3)
Material: TaCd2TeS
Method: DFT, PBE-GGA
State: relaxed

Values from the calculation:
For the formation energy (no corrections), the calculation gives 1.058 eV/atom. As for the size of the total moment: 2.96 Bohr magnetons per cell.

The structure in CIF format:
```
data_TaCd2TeS
_chemical_formula_sum 'Ta1 Cd2 Te1 S1'
_cell_length_a 4.994
_cell_length_b 4.994
_cell_length_c 5.287
_cell_angle_alpha 90.00
_cell_angle_beta 90.00
_cell_angle_gamma 90.00
_symmetry_space_group_name_H-M 'P 4/m m m'
_symmetry_Int_Tables_number 123
_symmetry_space_group_name_Hall '-P 4 2'
loop_
_atom_site_label
_atom_site_fract_x
_atom_site_fract_y
_atom_site_fract_z
Ta1 0.000 0.000 0.000
Cd1 0.000 0.500 0.500
Te1 0.500 0.500 0.000
S1 0.500 0.500 0.500
```

---

(4)
Material: TaTi2CdS
Method: DFT, PBE-GGA
State: relaxed

Values from the calculation:
For the formation energy (no corrections), the calculation gives 0.273 eV/atom. As for the size of the total moment: 0.00 Bohr magnetons per cell.

The structure in CIF format:
```
data_TaTi2CdS
_chemical_formula_sum 'Ta1 Ti2 Cd1 S1'
_cell_length_a 4.465
_cell_length_b 4.465
_cell_length_c 4.834
_cell_angle_alpha 90.00
_cell_angle_beta 90.00
_cell_angle_gamma 90.00
_symmetry_space_group_name_H-M 'P 4/m m m'
_symmetry_Int_Tables_number 123
_symmetry_space_group_name_Hall '-P 4 2'
loop_
_atom_site_label
_atom_site_fract_x
_atom_site_fract_y
_atom_site_fract_z
Ta1 0.000 0.000 0.000
Ti1 0.000 0.500 0.500
Cd1 0.500 0.500 0.000
S1 0.500 0.500 0.500
```

---

(5)
Material: ZrTaCdS2
Method: DFT, PBE-GGA
State: relaxed

Values from the calculation:
For the formation energy (no corrections), the calculation gives 0.523 eV/atom. As for the size of the total moment: 1.27 Bohr magnetons per cell.

The structure in CIF format:
```
data_ZrTaCdS2
_chemical_formula_sum 'Zr1 Ta1 Cd1 S2'
_cell_length_a 4.883
_cell_length_b 4.883
_cell_length_c 5.436
_cell_angle_alpha 90.00
_cell_angle_beta 90.00
_cell_angle_gamma 90.00
_symmetry_space_group_name_H-M 'P 4/m m m'
_symmetry_Int_Tables_number 123
_symmetry_space_group_name_Hall '-P 4 2'
loop_
_atom_site_label
_atom_site_fract_x
_atom_site_fract_y
_atom_site_fract_z
Zr1 0.000 0.000 0.000
Ta1 0.000 0.000 0.500
Cd1 0.500 0.500 0.500
S1 0.000 0.500 0.000
```

---

(6)
Material: Tb2CdS
Method: DFT, PBE-GGA
State: relaxed

Values from the calculation:
For the formation energy (no corrections), the calculation gives -1.108 eV/atom. As for the size of the total moment: 0.00 Bohr magnetons per cell.

The structure in CIF format:
```
data_Tb2CdS
_chemical_formula_sum 'Tb6 Cd3 S3'
_cell_length_a 3.8624
_cell_length_b 3.8624
_cell_length_c 23.3648
_cell_angle_alpha 90.00
_cell_angle_beta 90.00
_cell_angle_gamma 120.00
_symmetry_space_group_name_H-M 'R -3 m'
_symmetry_Int_Tables_number 166
_symmetry_space_group_name_Hall '-R 3 2"'
loop_
_atom_site_label
_atom_site_fract_x
_atom_site_fract_y
_atom_site_fract_z
Tb1 0.0000 0.0000 0.2352
Cd1 0.0000 0.0000 0.0000
S1 0.0000 0.0000 0.5000
```

---

(7)
Material: Tb2CdS4
Method: DFT, PBE-GGA
State: relaxed

Values from the calculation:
As for the distance to the lowest polymorph of the same formula: 0.35 eV per formula unit. For the formation energy (no corrections), the calculation gives -1.614 eV/atom. As for the size of the total moment: 0.00 Bohr magnetons per cell.

The structure in CIF format:
```
data_Tb2CdS4
_chemical_formula_sum 'Tb8 Cd4 S16'
_cell_length_a 9.239
_cell_length_b 9.239
_cell_length_c 8.201
_cell_angle_alpha 90.00
_cell_angle_beta 90.00
_cell_angle_gamma 90.00
_symmetry_space_group_name_H-M 'I -4 2 d'
_symmetry_Int_Tables_number 122
_symmetry_space_group_name_Hall 'I -4 2bw'
loop_
_atom_site_label
_atom_site_fract_x
_atom_site_fract_y
_atom_site_fract_z
Tb1 0.226 0.750 0.125
Cd1 0.000 0.000 0.500
S1 0.050 0.740 0.392
```

---

(8)
Material: Tb4CdS7
Method: DFT, PBE-GGA
State: relaxed

Values from the calculation:
For the formation energy (no corrections), the calculation gives -1.796 eV/atom. As for the size of the total moment: 0.00 Bohr magnetons per cell.

The structure in CIF format:
```
data_Tb4CdS7
_chemical_formula_sum 'Tb8 Cd2 S14'
_cell_length_a 12.765
_cell_length_b 3.855
_cell_length_c 11.636
_cell_angle_alpha 90.00
_cell_angle_beta 105.38
_cell_angle_gamma 90.00
_symmetry_space_group_name_H-M 'C 1 m 1'
_symmetry_Int_Tables_number 8
loop_
_symmetry_equiv_pos_as_xyz
'x,y,z'
'x,-y,z'
'x+1/2,y+1/2,z'
'x+1/2,-y+1/2,z'
loop_
_atom_site_label
_atom_site_fract_x
_atom_site_fract_y
_atom_site_fract_z
Tb1 0.000 0.000 0.000
Tb2 0.091 0.500 0.381
Tb3 0.205 0.000 0.781
Tb4 0.397 0.500 0.569
Cd1 0.273 0.500 0.152
S1 0.056 0.500 0.626
S2 0.125 0.500 0.926
S3 0.146 0.000 0.222
S4 0.237 0.000 0.524
S5 0.354 0.500 0.783
S6 0.367 0.000 0.043
S7 0.432 0.500 0.351
```